Density functional theory data (PBE) for KTe2HI after structural relaxation.

Unit cell a=4.5533 b=4.5533 c=8.3318 alpha=90.00 beta=90.00 gamma=90.00
Closest atoms and distances in Å follow each position.
Fractional coordinates of all 5 atoms:
Te  0.5000  0.0000  0.0000  2 H 2.28
Te  0.0000  0.5000  0.0000  2 H 2.28
H  0.0000  0.0000  0.0000  4 Te 2.28
K  0.5000  0.5000  0.5000  4 I 3.22
I  0.0000  0.0000  0.5000  4 K 3.22

Results
**Total magnetization**: 0.000 μB/f.u.
**Final energy**: -0.09742 Ha/atom

=====

Density functional theory data (PBE) for KTe2HI after structural relaxation.

Unit cell a=6.8775 b=6.8775 c=6.6192 alpha=90.00 beta=90.00 gamma=90.00
Closest atoms and distances in Å follow each position.
Fractional coordinates of all 5 atoms:
H  0.5000  0.5000  0.5000  8 Te 4.77, 4 I 4.86
Te  0.0000  0.5000  0.0000  2 K 3.44
K  0.0000  0.0000  0.0000  2 I 3.31, 4 Te 3.44
I  0.0000  0.0000  0.5000  2 K 3.31
Te  0.5000  0.0000  0.0000  2 K 3.44

Results
**Total magnetization**: 5.022 μB/f.u.
**Final energy**: -0.06084 Ha/atom

=====

Density functional theory data (PBE) for KTeHI2 after structural relaxation.

Unit cell a=6.7116 b=6.7116 c=7.0079 alpha=90.00 beta=90.00 gamma=90.00
Closest atoms and distances in Å follow each position.
Fractional coordinates of all 5 atoms:
Te  0.0000  0.0000  0.5000  2 K 3.50
K  0.0000  0.0000  0.0000  4 I 3.36, 2 Te 3.50
I  0.5000  0.0000  0.0000  2 K 3.36
H  0.5000  0.5000  0.5000  4 Te 4.75, 8 I 4.85
I  0.0000  0.5000  0.0000  2 K 3.36

Results
**Total magnetization**: 4.038 μB/f.u.
**Final energy**: -0.05930 Ha/atom

=====

Density functional theory data (PBE) for KTeHI2 after structural relaxation.

Unit cell a=6.1261 b=6.1261 c=3.9944 alpha=90.00 beta=90.00 gamma=90.00
Closest atoms and distances in Å follow each position.
Fractional coordinates of all 5 atoms:
I  0.5000  0.0000  0.0000  2 H 3.06
H  0.0000  0.0000  0.0000  2 Te 2.00
K  0.5000  0.5000  0.5000  8 I 3.66, 2 K 3.99
I  0.0000  0.5000  0.0000  2 H 3.06
Te  0.0000  0.0000  0.5000  2 H 2.00

Results
**Total magnetization**: 0.007 μB/f.u.
**Final energy**: -0.08714 Ha/atom

=====

Question: The highest final energy belongs to which entry?
Answer: number 3